Here is a relaxed structure of K2CoMoO4 from the Alexandria database. Energies are from GGA+U.

Cell: 5.7283 5.7283 5.7283 Å, 117.50 117.50 94.39°
With the nearest neighbours (Å) after each atom.
Atoms (fractional coordinates):
K 0.0000 0.0000 0.0000  4 O 2.72
K 0.7500 0.2500 0.5000  4 O 2.78
Co 0.5000 0.5000 0.0000  4 O 1.99
Mo 0.2500 0.7500 0.5000  4 O 1.97
O 0.2322 0.6345 0.1095  1 Mo 1.97, 1 Co 1.99
O 0.3655 0.4750 0.5978  1 Mo 1.97, 1 Co 1.99
O 0.5250 0.1227 0.8905  1 Mo 1.97, 1 Co 1.99
O 0.8773 0.7678 0.4022  1 Mo 1.97, 1 Co 1.99

Properties
The total moment is 5.000 Bohr magnetons per cell. As for the total energy: -5.695 eV per atom. Its space group is I-4 (82).